Entry a
DFT (PBE) results for crystalline Ac2Nd7Y2 at its relaxed geometry.

Geometry as POSCAR:
```
Ac2Nd7Y2
1.0
-3.124 6.053 0.521
-5.846 -5.984 4.689
2.036 0.513 6.501
Nd Y Ac
7 2 2
Cartesian
-4.392 2.881 3.291
-2.542 -2.299 8.421
-2.459 0.410 1.840
-4.475 0.172 9.872
-3.812 -3.828 5.594
-3.122 4.411 6.118
0.000 0.000 0.000
-3.642 1.347 6.985
-3.292 -0.764 4.727
-6.492 -1.408 6.977
-0.441 1.991 4.735
```

density = 6.46 g cm⁻³
volume = 38.34 A^3/atom

---

Entry b
DFT (PBE) results for crystalline Ac2Nd7Y2 at its relaxed geometry.

Geometry as POSCAR:
```
Ac2Nd7Y2
1.0
-1.503 1.524 3.058
-10.224 2.060 -3.773
-7.498 -7.789 2.474
Ac Nd Y
2 7 2
Cartesian
-9.187 -3.639 1.854
-9.233 -1.521 -1.501
-6.679 0.558 0.995
-3.748 -0.939 3.182
-10.739 1.970 -1.704
-13.210 -2.363 -0.759
-14.758 -5.862 0.224
-12.828 -3.895 2.470
-5.680 -2.895 0.929
-3.204 1.007 0.201
-16.681 -2.823 0.042
```

density = 6.67 g cm⁻³
volume = 37.17 A^3/atom

---

It turns out entry b is the most stable, with the second structure 0.203 eV/atom higher.